# PBE+U Rb2Mo2O5, relaxed
# magnetic moment: 4.000 μB/f.u.
# final energy: -108.06 eV/cell
# space-group type: No. 46
data_Rb2Mo2O5
_space_group_name_H-M_alt 'P 1'
_space_group_IT_number 1
_cell_length_a 9.148
_cell_length_b 9.148
_cell_length_c 9.148
_cell_angle_alpha 141.37
_cell_angle_beta 141.00
_cell_angle_gamma 56.06
loop_
_space_group_symop_operation_xyz
'x,y,z'
loop_
_atom_site_label
_atom_site_fract_x
_atom_site_fract_y
_atom_site_fract_z
O1 0.251 0.250 0.487
O2 0.330 0.373 0.977
O3 0.263 0.750 0.998
Mo1 0.685 0.714 0.900
Mo2 0.315 0.214 0.029
O4 0.749 0.236 0.998
O5 0.737 0.736 0.487
Rb1 0.628 0.111 0.513
O6 0.670 0.647 0.043
Rb2 0.372 0.885 0.483
Mo3 0.000 0.021 0.021
O7 0.897 0.873 0.043
O8 0.566 0.427 0.494
Rb3 0.098 0.611 0.483
O9 0.103 0.147 0.977
Mo4 0.500 0.521 0.021
O10 0.434 0.927 0.861
Rb4 0.902 0.385 0.513